Record 1
VASP calculation (PBE-GGA) on crystalline SiNiPd at its relaxed geometry.

Summary:
Spin magnetization   0.00 μB per formula unit
Formation energy (no corrections)   -0.45 eV/atom
D(E_F)   0.606 states/eV/atom

Cell: 3.9203 3.9203 2.9287 Å, 90.00 90.00 120.00°
Space group P3m1 (No. 156)
Inequivalent atoms, fractional coordinates:
Si  0.0000  0.0000  0.0000 x1
Ni  0.6667  0.3333  0.9909 x1
Pd  0.3333  0.6667  0.4914 x1

Record 2
VASP calculation (PBE-GGA) on crystalline LiSmAg3 at its relaxed geometry.

Summary:
Spin magnetization   0.00 μB per formula unit
Calculated formation energy   -0.1322 eV per atom
Energy above the lowest structure with this stoichiometry   0.0753 eV/atom
D(E_F)   0.523 states/eV/atom

Cell: 6.314 10.734 6.201 Å, 90.00 90.00 90.00°
Space group Cmcm (No. 63)
Inequivalent atoms, fractional coordinates:
Li  0.000  0.098  0.250 x4
Sm  0.000  0.234  0.750 x4
Ag  0.000  0.329  0.250 x4
Ag  0.230  0.500  0.000 x8

Record 3
VASP calculation (PBE-GGA) on crystalline CoSi2Pb at its relaxed geometry.

Summary:
Spin magnetization   0.00 μB per formula unit
Formation energy (no corrections)   0.61 eV/atom
D(E_F)   0.785 states/eV/atom

Cell: 5.192 5.220 10.289 Å, 90.00 90.00 90.00°
Space group Fmmm (No. 69)
Inequivalent atoms, fractional coordinates:
Co  0.000  0.000  0.000 x4
Si  0.250  0.000  0.250 x8
Pb  0.000  0.000  0.500 x4

Record 4
VASP calculation (PBE-GGA) on crystalline InIr2 at its relaxed geometry.

Summary:
Spin magnetization   0.00 μB per formula unit
Calculated formation energy   0.3247 eV per atom
D(E_F)   0.505 states/eV/atom

Cell: 3.855 3.855 15.667 Å, 90.00 90.00 90.00°
Space group I4_1/amd (No. 141, origin choice 2)
Inequivalent atoms, fractional coordinates:
In  0.000  0.250  0.375 x4
Ir  0.000  0.250  0.799 x8